(1)
Entry from OQMD via LeMat-Bulk: a relaxed Gd2TmAl5 crystal (GGA-PBE).

Cell and atoms, written as extended XYZ:
```
8
Lattice="4.779 0.000 0.000 0.000 3.326 5.503 0.000 -3.326 5.503" Properties=species:S:1:pos:R:3 pbc="T T T"
Gd 0.000 0.000 0.000
Gd 2.389 0.000 3.365
Tm 2.389 0.000 8.947
Al 0.000 -1.487 7.964
Al 0.000 0.000 5.574
Al 0.000 1.487 7.964
Al 2.389 -1.427 6.250
Al 2.389 1.427 6.250
```

Results
Crystal system ... orthorhombic
Total magnetization ... 0.0039 μB per atom
E_tot ... -35.026 eV/cell


(2)
Entry from OQMD via LeMat-Bulk: a relaxed ScGaPt crystal (GGA-PBE).

Cell and atoms, written as extended XYZ:
```
3
Lattice="0.000 3.135 3.135 3.135 0.000 3.135 3.135 3.135 0.000" Properties=species:S:1:pos:R:3 pbc="T T T"
Sc 0.000 0.000 0.000
Ga 4.702 4.702 4.702
Pt 1.567 1.567 1.567
```

Results
Crystal system ... cubic
Total magnetization ... 0.0001 μB per atom
E_tot ... -16.680 eV/cell


(3)
Entry from OQMD via LeMat-Bulk: a relaxed Rb2ZrSe3 crystal (GGA-PBE).

Cell and atoms, written as extended XYZ:
```
24
Lattice="17.163 0.000 0.000 0.000 4.112 0.000 0.000 0.000 12.877" Properties=species:S:1:pos:R:3 pbc="T T T"
Rb 1.133 1.028 1.025
Rb 3.816 1.028 6.651
Rb 4.765 3.084 0.213
Rb 7.448 3.084 7.464
Rb 9.715 1.028 5.413
Rb 12.398 1.028 12.664
Rb 13.347 3.084 6.226
Rb 16.030 3.084 11.852
Zr 0.204 3.084 4.541
Zr 8.377 1.028 10.980
Zr 8.786 3.084 1.897
Zr 16.959 1.028 8.336
Se 1.086 1.028 10.539
Se 1.328 3.084 7.221
Se 1.968 1.028 4.031
Se 6.614 3.084 10.470
Se 7.254 1.028 0.783
Se 7.495 3.084 4.100
Se 9.668 1.028 8.777
Se 9.910 3.084 12.094
Se 10.550 1.028 2.407
Se 15.195 3.084 8.846
Se 15.835 1.028 5.656
Se 16.077 3.084 2.338
```

Results
Crystal system ... orthorhombic
Total magnetization ... 0.0002 μB per atom
E_tot ... -110.449 eV/cell


(4)
Entry from OQMD via LeMat-Bulk: a relaxed TbAlPt crystal (GGA-PBE).

Cell and atoms, written as extended XYZ:
```
12
Lattice="5.330 0.000 0.000 0.000 4.427 0.000 0.000 0.000 10.821" Properties=species:S:1:pos:R:3 pbc="T T T"
Tb 0.751 1.107 1.405
Tb 1.914 3.321 6.816
Tb 3.416 1.107 4.005
Tb 4.579 3.321 9.415
Al 0.774 3.321 3.682
Al 1.891 1.107 9.092
Al 3.438 3.321 1.728
Al 4.556 1.107 7.139
Pt 0.776 1.107 4.886
Pt 1.889 3.321 10.296
Pt 3.441 1.107 0.524
Pt 4.554 3.321 5.935
```

Results
Crystal system ... orthorhombic
Total magnetization ... 0.0006 μB per atom
E_tot ... -69.240 eV/cell


(5)
Entry from OQMD via LeMat-Bulk: a relaxed YHfW2 crystal (GGA-PBE).

Cell and atoms, written as extended XYZ:
```
4
Lattice="0.000 3.387 3.387 3.387 0.000 3.387 3.387 3.387 0.000" Properties=species:S:1:pos:R:3 pbc="T T T"
Y 0.000 0.000 0.000
Hf 1.693 1.693 1.693
W 3.387 3.387 3.387
W 5.080 5.080 5.080
```

Results
Crystal system ... cubic
Total magnetization ... 0.0012 μB per atom
E_form ... 0.44 eV per atom


(6)
Entry from OQMD via LeMat-Bulk: a relaxed Er2Bi2O5 crystal (GGA-PBE).

Cell and atoms, written as extended XYZ:
```
9
Lattice="4.200 0.000 0.000 0.000 4.200 0.000 0.000 0.000 7.947" Properties=species:S:1:pos:R:3 pbc="T T T"
Er 0.000 0.000 0.000
Er 0.000 0.000 3.974
Bi 2.100 2.100 1.798
Bi 2.100 2.100 6.149
O 0.000 2.100 2.444
O 0.000 2.100 5.504
O 2.100 0.000 2.444
O 2.100 0.000 5.504
O 2.100 2.100 3.974
```

Results
Crystal system ... tetragonal
Total magnetization ... 0.0005 μB per atom
Energy above the lowest structure with this stoichiometry ... 788 meV per atom


(7)
Entry from OQMD via LeMat-Bulk: a relaxed PuIn crystal (GGA-PBE).

Cell and atoms, written as extended XYZ:
```
4
Lattice="4.963 0.000 0.000 -2.482 4.298 0.000 0.000 0.000 5.748" Properties=species:S:1:pos:R:3 pbc="T T T"
Pu 0.000 0.000 0.000
Pu 0.000 0.000 2.874
In 0.000 2.866 1.437
In 2.482 1.433 4.311
```

Results
Crystal system ... hexagonal
Total magnetization ... 3.0121 μB per atom
E_tot ... -33.058 eV/cell


(8)
Entry from OQMD via LeMat-Bulk: a relaxed SmZrBi crystal (GGA-PBE).

Cell and atoms, written as extended XYZ:
```
3
Lattice="0.000 3.581 3.581 3.581 0.000 3.581 3.581 3.581 0.000" Properties=species:S:1:pos:R:3 pbc="T T T"
Sm 0.000 0.000 0.000
Zr 3.581 3.581 3.581
Bi 1.791 1.791 1.791
```

Results
Crystal system ... cubic
Total magnetization ... 0.2656 μB per atom
Energy above the lowest structure with this stoichiometry ... 0 meV per atom